6
Lattice="3.987 0.017 -1.891 -0.877 3.890 -1.891 0.098 0.123 5.401" Properties=species:S:1:pos:R:3 comment="PBE Ta2C, relaxed" ef_ev_per_fu=-1.3 e_tot_ev_per_atom=-11.394 magnetic_moment_mub_per_fu=0.0 sg="Fddd, No. 70" pbc="T T T"
Ta 0.216 1.518 3.046
Ta 1.382 0.489 0.345
Ta 2.992 2.511 -1.427
Ta 1.826 3.540 1.274
C 3.404 0.531 -0.541
C -0.196 3.498 2.160

8
Lattice="1.575 -2.728 0.000 1.575 2.728 0.000 0.000 0.000 10.716" Properties=species:S:1:pos:R:3 comment="PBE TaC, relaxed" ef_ev_per_fu=1.5 e_above_lowest_polymorph_mev_per_atom=1338.3 e_tot_ev_per_atom=-9.777 magnetic_moment_mub_per_fu=0.0 sg="P6_3/mmc, No. 194" pbc="T T T"
Ta 1.575 -0.909 9.491
Ta 1.575 -0.909 6.582
Ta 1.575 0.909 1.224
Ta 1.575 0.909 4.134
C 0.000 0.000 8.037
C 1.575 -0.909 2.679
C 1.575 0.909 8.037
C 0.000 0.000 2.679

4
Lattice="3.199 0.000 0.000 -1.600 2.771 0.000 0.000 0.000 4.295" Properties=species:S:1:pos:R:3 comment="PBE TaC3, relaxed" ef_ev_per_fu=5.4 e_above_lowest_polymorph_mev_per_atom=765.8 e_tot_ev_per_atom=-8.527 magnetic_moment_mub_per_fu=0.0 sg="P-6m2, No. 187" pbc="T T T"
C 0.000 0.000 1.845
C 0.000 0.000 0.302
C 1.600 0.924 1.074
Ta 1.600 0.924 3.222

16
Lattice="-0.228 5.736 -1.126 -5.860 -0.206 0.135 0.087 1.061 5.386" Properties=species:S:1:pos:R:3 comment="PBE TaC3, relaxed" ef_ev_per_fu=2.4 e_above_lowest_polymorph_mev_per_atom=0.0 e_tot_ev_per_atom=-9.293 magnetic_moment_mub_per_fu=0.0 sg="Pnma, No. 62" pbc="T T T"
C -5.187 3.946 -0.631
C -0.814 2.645 5.026
C -0.855 2.138 2.453
C -2.272 4.432 -0.774
C -3.729 2.159 5.168
C -3.772 2.104 3.843
C -5.160 4.399 0.616
C -2.229 4.487 0.551
C -2.231 4.938 1.799
C -5.146 4.453 1.941
C -0.841 2.192 3.779
C -3.770 1.653 2.596
Ta -0.754 4.345 3.354
Ta -2.259 0.891 1.260
Ta -5.247 2.246 1.041
Ta -3.742 5.700 3.135

8
Lattice="-1.452 1.452 8.866 1.452 -1.452 8.866 1.452 1.452 -8.866" Properties=species:S:1:pos:R:3 comment="PBE TaC3, relaxed" ef_ev_per_fu=6.5 e_above_lowest_polymorph_mev_per_atom=1045.6 e_tot_ev_per_atom=-8.247 magnetic_moment_mub_per_fu=0.0 sg="I4/mmm, No. 139" pbc="T T T"
C 1.452 0.000 0.000
C 0.000 1.452 4.433
C 0.000 0.000 15.773
C 0.000 1.452 0.000
C 0.000 0.000 1.960
C 1.452 0.000 4.433
Ta 0.000 0.000 6.190
Ta 0.000 0.000 11.543

6
Lattice="5.300 3.068 1.884 -6.111 -0.233 -1.911 -0.896 -0.229 2.894" Properties=species:S:1:pos:R:3 comment="PBE TaC2, relaxed" ef_ev_per_fu=2.2 e_above_lowest_polymorph_mev_per_atom=538.1 e_tot_ev_per_atom=-9.357 magnetic_moment_mub_per_fu=0.0 sg="Cmmm, No. 65" pbc="T T T"
C -4.160 0.346 0.334
C -0.854 1.303 1.433
C 0.000 0.000 0.000
C 2.453 2.259 2.533
Ta 1.110 1.856 0.491
Ta -1.921 0.979 -0.518

6
Lattice="-4.922 -1.078 -1.458 3.791 0.143 3.622 -1.171 3.897 1.071" Properties=species:S:1:pos:R:3 comment="PBE TaC2, relaxed" ef_ev_per_fu=2.2 e_above_lowest_polymorph_mev_per_atom=534.6 e_tot_ev_per_atom=-9.361 magnetic_moment_mub_per_fu=0.0 sg="Cmcm, No. 63" pbc="T T T"
Ta -1.805 0.374 0.797
Ta -0.496 2.588 2.438
C 0.780 0.737 2.304
C -3.081 2.226 0.931
C -4.298 0.025 -0.656
C 1.997 2.938 3.891

6
Lattice="-2.768 2.768 2.570 2.768 -2.768 2.570 2.768 2.768 -2.570" Properties=species:S:1:pos:R:3 comment="PBE Ta2C, relaxed" ef_ev_per_fu=-0.3 e_tot_ev_per_atom=-11.084 magnetic_moment_mub_per_fu=0.0 sg="I4/mcm, No. 140" pbc="T T T"
Ta 3.739 0.971 0.000
Ta -0.971 1.797 2.570
Ta 0.971 1.797 0.000
Ta 1.797 0.971 2.570
C 0.000 0.000 3.855
C 0.000 0.000 1.285

4
Lattice="-0.936 0.464 4.082 3.903 -1.207 1.033 1.283 4.010 -0.161" Properties=species:S:1:pos:R:3 comment="PBE TaC3, relaxed" ef_ev_per_fu=9.9 e_above_lowest_polymorph_mev_per_atom=1898.6 e_tot_ev_per_atom=-7.394 magnetic_moment_mub_per_fu=0.0 sg="Pm-3m, No. 221" pbc="T T T"
C 1.951 -0.604 0.516
C 0.642 2.005 -0.081
C -0.468 0.232 2.041
Ta 0.000 0.000 0.000

5
Lattice="1.908 -3.304 0.000 1.908 3.304 0.000 0.000 0.000 4.459" Properties=species:S:1:pos:R:3 comment="PBE Ta2C3, relaxed" ef_ev_per_fu=3.2 e_above_lowest_polymorph_mev_per_atom=318.8 e_tot_ev_per_atom=-9.638 magnetic_moment_mub_per_fu=0.0 sg="P-3m1, No. 164" pbc="T T T"
C 1.908 1.101 1.223
C 0.000 0.000 0.000
C 1.908 -1.101 3.236
Ta 1.908 -1.101 1.056
Ta 1.908 1.101 3.404

16
Lattice="-5.006 2.831 -3.286 0.694 -6.854 -1.194 -2.651 -0.845 3.310" Properties=species:S:1:pos:R:3 comment="PBE Ta3C5, relaxed" ef_ev_per_fu=2.2 e_above_lowest_polymorph_mev_per_atom=21.8 e_tot_ev_per_atom=-9.939 magnetic_moment_mub_per_fu=0.0 sg="P2_1/m, No. 11" pbc="T T T"
C -4.095 -3.867 0.818
C -3.300 -3.613 -0.176
C -5.618 -3.851 -1.245
C -2.978 -6.415 0.214
C -2.867 -1.001 -1.987
C -0.420 -4.726 -0.131
C -1.345 -1.017 0.076
C -6.542 -0.142 -1.039
C -3.984 1.547 -1.383
C -3.663 -1.254 -0.994
Ta -3.792 -3.178 -2.435
Ta -1.596 -6.032 -1.406
Ta -5.366 1.164 0.237
Ta -1.787 -5.108 1.502
Ta -5.175 0.240 -2.671
Ta -3.170 -1.690 1.266

9
Lattice="-0.242 1.696 2.606 -0.734 1.262 -2.756 -16.098 -5.217 1.899" Properties=species:S:1:pos:R:3 comment="PBE Ta2C, relaxed" ef_ev_per_fu=0.9 e_tot_ev_per_atom=-10.688 magnetic_moment_mub_per_fu=0.1 sg="P-3m1, No. 164" pbc="T T T"
Ta -12.475 -2.451 0.436
Ta -4.599 0.193 1.313
Ta -1.358 -0.440 0.160
Ta -9.773 -1.576 0.117
Ta -7.301 -0.683 1.632
Ta -14.740 -4.777 1.739
C -2.705 0.806 1.090
C -8.049 -2.608 0.950
C -14.369 -3.065 0.659

6
Lattice="1.531 -5.876 0.000 1.531 5.876 0.000 0.000 0.000 4.667" Properties=species:S:1:pos:R:3 comment="PBE Ta2C, relaxed" ef_ev_per_fu=-1.4 e_tot_ev_per_atom=-11.456 magnetic_moment_mub_per_fu=0.0 sg="Cmcm, No. 63" pbc="T T T"
Ta 1.531 0.690 3.500
Ta 1.531 3.725 3.500
Ta 1.531 -0.690 1.167
Ta 1.531 -3.725 1.167
C 1.531 3.690 1.167
C 1.531 -3.690 3.500

16
Lattice="-4.275 2.229 4.538 -4.746 -3.819 -2.595 1.744 -4.929 4.063" Properties=species:S:1:pos:R:3 comment="PBE TaC, relaxed" ef_ev_per_fu=0.8 e_above_lowest_polymorph_mev_per_atom=961.1 e_tot_ev_per_atom=-10.155 magnetic_moment_mub_per_fu=0.0 sg="I-43m, No. 217" pbc="T T T"
Ta -3.436 -5.003 2.515
Ta -4.394 -3.641 -0.817
Ta -2.483 -2.224 2.049
Ta -5.348 -2.729 2.666
Ta -3.287 -3.082 4.782
Ta -6.121 -5.483 5.052
Ta 0.034 -4.398 3.726
Ta -4.073 0.485 4.051
C -7.291 -2.127 2.284
C -4.808 -4.307 3.968
C -1.170 -1.048 0.965
C -1.908 -3.796 3.344
C -2.887 -2.880 6.802
C -3.843 -1.495 3.497
C -3.994 -3.439 1.204
C -3.207 -6.983 1.961

5
Lattice="4.186 0.000 0.000 0.000 4.186 0.000 0.000 0.000 4.186" Properties=species:S:1:pos:R:3 comment="PBE TaC4, relaxed" ef_ev_per_fu=16.4 e_above_lowest_polymorph_mev_per_atom=2486.5 e_tot_ev_per_atom=-6.465 magnetic_moment_mub_per_fu=0.7 sg="Pm-3m, No. 221" pbc="T T T"
C 0.000 0.000 0.000
C 0.000 2.093 2.093
C 2.093 0.000 2.093
C 2.093 2.093 0.000
Ta 2.093 2.093 2.093

6
Lattice="-1.073 -5.197 0.947 1.889 -2.373 4.456 -3.385 -1.375 3.963" Properties=species:S:1:pos:R:3 comment="PBE Ta5C, relaxed" ef_ev_per_fu=8.6 e_above_lowest_polymorph_mev_per_atom=1407.1 e_tot_ev_per_atom=-9.982 magnetic_moment_mub_per_fu=0.0 sg="F-43m, No. 216" pbc="T T T"
Ta -2.534 -4.405 3.640
Ta 0.069 -4.898 3.883
Ta -0.642 -2.236 2.342
Ta -1.602 -5.576 5.839
Ta -1.072 -3.012 5.371
C 0.000 0.000 0.000

9
Lattice="-4.172 -0.529 5.982 3.255 3.417 -5.586 -5.264 -2.697 -4.300" Properties=species:S:1:pos:R:3 comment="PBE Ta5C4, relaxed" ef_ev_per_fu=4.1 e_above_lowest_polymorph_mev_per_atom=488.5 e_tot_ev_per_atom=-10.228 magnetic_moment_mub_per_fu=0.0 sg="I4/mmm, No. 139" pbc="T T T"
C -7.400 -2.530 1.320
C -2.036 -0.696 0.363
C -1.575 0.564 -7.753
C -0.433 0.155 -2.133
Ta 0.716 2.068 -1.631
Ta -3.913 -0.857 -2.804
Ta 0.000 0.000 0.000
Ta -1.633 0.820 2.027
Ta -2.268 1.048 -1.099

3
Lattice="3.228 0.000 0.000 -1.614 2.796 0.000 0.000 0.000 3.057" Properties=species:S:1:pos:R:3 comment="PBE TaC2, relaxed" ef_ev_per_fu=4.2 e_above_lowest_polymorph_mev_per_atom=1187.1 e_tot_ev_per_atom=-8.708 magnetic_moment_mub_per_fu=0.0 sg="P6/mmm, No. 191" pbc="T T T"
C 1.614 0.932 1.529
C 0.000 1.864 1.529
Ta 0.000 0.000 0.000

8
Lattice="4.167 0.000 0.000 0.000 4.167 0.000 0.000 0.000 4.167" Properties=species:S:1:pos:R:3 comment="PBE TaC3, relaxed" ef_ev_per_fu=7.9 e_above_lowest_polymorph_mev_per_atom=1376.2 e_tot_ev_per_atom=-7.917 magnetic_moment_mub_per_fu=0.0 sg="Pm-3n, No. 223" pbc="T T T"
C 3.125 2.083 0.000
C 0.000 1.042 2.083
C 2.083 0.000 3.125
C 1.042 2.083 0.000
C 2.083 0.000 1.042
C 0.000 3.125 2.083
Ta 0.000 0.000 0.000
Ta 2.083 2.083 2.083

4
Lattice="4.015 -0.002 0.001 1.082 3.867 -0.001 -1.928 -2.751 2.199" Properties=species:S:1:pos:R:3 comment="PBE TaC3, relaxed" ef_ev_per_fu=6.0 e_above_lowest_polymorph_mev_per_atom=920.2 e_tot_ev_per_atom=-8.373 magnetic_moment_mub_per_fu=0.0 sg="Immm, No. 71" pbc="T T T"
C 0.890 0.675 0.000
C -0.423 0.558 1.099
C 4.208 3.190 0.000
Ta 1.044 -1.377 1.100

6
Lattice="0.492 4.750 4.420 -3.482 -3.573 -4.177 -0.981 -3.230 3.580" Properties=species:S:1:pos:R:3 comment="PBE Ta5C, relaxed" ef_ev_per_fu=2.6 e_above_lowest_polymorph_mev_per_atom=399.8 e_tot_ev_per_atom=-10.989 magnetic_moment_mub_per_fu=0.0 sg="Cmmm, No. 65" pbc="T T T"
Ta -0.014 3.691 3.326
Ta -1.313 0.382 3.366
Ta -0.490 -1.615 1.790
Ta -2.976 -2.514 -3.084
Ta -2.658 -2.435 0.456
C -1.495 0.588 0.121

2
Lattice="-2.658 1.454 0.398 0.141 -2.456 -1.811 -0.590 -1.695 2.253" Properties=species:S:1:pos:R:3 comment="PBE TaC, relaxed" ef_ev_per_fu=-0.3 e_above_lowest_polymorph_mev_per_atom=407.3 e_tot_ev_per_atom=-10.708 magnetic_moment_mub_per_fu=0.0 sg="P-6m2, No. 187" pbc="T T T"
C -0.295 -0.848 1.126
Ta -1.725 0.150 -0.339

3
Lattice="-3.298 1.961 0.295 -2.787 -0.213 -2.645 -3.380 -1.710 0.678" Properties=species:S:1:pos:R:3 comment="PBE TaC2, relaxed" ef_ev_per_fu=2.0 e_above_lowest_polymorph_mev_per_atom=469.3 e_tot_ev_per_atom=-9.426 magnetic_moment_mub_per_fu=0.0 sg="R3m, No. 160" pbc="T T T"
C -7.151 0.029 -1.264
C -5.786 0.023 -1.022
Ta -9.147 0.036 -1.616

16
Lattice="4.329 0.000 0.000 -2.165 3.749 0.000 0.000 0.000 9.880" Properties=species:S:1:pos:R:3 comment="PBE TaC3, relaxed" ef_ev_per_fu=6.5 e_above_lowest_polymorph_mev_per_atom=1026.9 e_tot_ev_per_atom=-8.266 magnetic_moment_mub_per_fu=0.0 sg="P6_3/mmc, No. 194" pbc="T T T"
Ta 0.000 2.499 2.470
Ta 0.000 0.000 4.940
Ta 0.000 0.000 0.000
Ta 2.165 1.250 7.410
C -1.082 1.875 0.000
C 2.893 0.829 2.470
C 2.165 0.000 4.940
C 2.165 0.000 0.000
C -0.729 2.920 7.410
C 1.082 1.875 4.940
C 0.729 2.920 7.410
C 2.165 2.091 2.470
C 1.082 1.875 0.000
C 0.000 1.658 7.410
C -1.082 1.875 4.940
C 1.436 0.829 2.470

12
Lattice="4.939 0.000 0.000 0.000 5.410 0.000 0.000 0.000 6.275" Properties=species:S:1:pos:R:3 comment="PBE Ta2C, relaxed" ef_ev_per_fu=-1.7 e_tot_ev_per_atom=-11.546 magnetic_moment_mub_per_fu=0.0 sg="Pbcn, No. 60" pbc="T T T"
C 0.000 4.058 0.758
C 2.470 4.058 3.895
C 0.000 1.353 5.518
C 2.470 1.353 2.380
Ta 3.734 3.129 2.377
Ta 3.675 3.129 5.514
Ta 3.675 0.424 0.761
Ta 3.734 0.424 3.899
Ta 1.264 4.986 5.514
Ta 1.206 4.986 2.377
Ta 1.206 2.281 3.899
Ta 1.264 2.281 0.761